1.
Si2Ir2Pt: relaxed, PBEsol.

## Properties
The calculation puts the energy relative to the elements, uncorrected at -0.490 eV per atom. As for the size of the total moment: 0.000 μB/atom. Its density is 15.29 Mg/m³.

Cell: 7.079 7.079 2.755 Å, 90.00 90.00 90.00°
Sites, in units of the cell vectors:
1 Si 0.156 0.344 0.000
2 Si 0.344 0.844 0.000
3 Si 0.656 0.156 0.000
4 Si 0.844 0.656 0.000
5 Ir 0.142 0.642 0.500
6 Ir 0.358 0.142 0.500
7 Ir 0.642 0.858 0.500
8 Ir 0.858 0.358 0.500
9 Pt 0.000 0.000 0.500
10 Pt 0.500 0.500 0.500

***

2.
SiIr2Pt: relaxed, PBEsol.

## Properties
The calculation puts the energy relative to the elements, uncorrected at -0.175 eV per atom. As for the size of the total moment: 0.000 μB/atom. Its density is 18.27 Mg/m³.

Cell: 2.774 2.774 7.174 Å, 90.00 90.00 90.00°
Sites, in units of the cell vectors:
1 Si 0.000 0.000 0.000
2 Ir 0.000 0.000 0.487
3 Ir 0.500 0.500 0.217
4 Pt 0.500 0.500 0.772

***

3.
SiIr2Pt: relaxed, PBEsol.

## Properties
The calculation puts the energy relative to the elements, uncorrected at -0.237 eV per atom. As for the size of the total moment: 0.000 μB/atom. Its density is 17.93 Mg/m³.

Cell: 2.830 3.914 5.238 Å, 90.00 104.05 90.00°
Sites, in units of the cell vectors:
1 Si 0.000 0.000 0.000
2 Ir 0.362 0.500 0.230
3 Ir 0.638 0.500 0.770
4 Pt 0.000 0.000 0.500

***

4.
SiIrPt2: relaxed, PBEsol.

## Properties
The calculation puts the energy relative to the elements, uncorrected at -0.321 eV per atom. As for the size of the total moment: 0.000 μB/atom. Its density is 18.04 Mg/m³.

Cell: 3.776 3.776 3.941 Å, 90.00 90.00 90.00°
Sites, in units of the cell vectors:
1 Si 0.000 0.000 0.000
2 Ir 0.500 0.500 0.000
3 Pt 0.000 0.500 0.500
4 Pt 0.500 0.000 0.500

***

The highest density belongs to which entry? number 2

***

density of number 4 (SiIrPt2)? 18.04 Mg/m³

***

Which value of energy relative to the elements, uncorrected does entry 3 give? -0.237 eV per atom